No. 1
BeMoI3: relaxed, PBE.

Structure (POSCAR):
```
BeMoI3
1.0
5.310 0.000 0.000
0.000 5.310 0.000
0.000 0.000 5.310
Be Mo I
1 1 3
Direct
0.000 0.000 0.000 Be
0.500 0.500 0.500 Mo
0.000 0.000 0.500 I
0.000 0.500 0.000 I
0.500 0.000 0.000 I
```

Values from the calculation:
The calculation puts the excess energy over the best structure of this formula in the dataset at 0.000 eV per atom. The formation energy from raw total energies comes out at 0.803 eV/atom. The calculation puts the spin magnetization at 4.9 μB per formula unit.

***

No. 2
Be2MoI: relaxed, PBE.

Structure (POSCAR):
```
Be2MoI
1.0
-3.400 3.400 2.762
3.400 -3.400 2.762
3.400 3.400 -2.762
Be Mo I
4 2 2
Direct
0.116 0.125 0.491 Be
0.375 0.884 0.009 Be
0.634 0.625 0.509 Be
0.875 0.366 0.991 Be
0.000 0.000 0.000 Mo
0.750 0.250 0.500 Mo
0.250 0.750 0.500 I
0.500 0.500 0.000 I
```

Values from the calculation:
The calculation puts the excess energy over the best structure of this formula in the dataset at 0.000 eV per atom. The formation energy from raw total energies comes out at 1.134 eV/atom. The calculation puts the spin magnetization at 0.0 μB per formula unit.

***

No. 3
BeMoI2: relaxed, PBE.

Structure (POSCAR):
```
BeMoI2
1.0
-3.002 3.002 5.576
3.002 -3.002 5.576
3.002 3.002 -5.576
Be Mo I
2 2 4
Direct
0.000 0.000 0.000 Be
0.750 0.250 0.500 Be
0.250 0.750 0.500 Mo
0.500 0.500 0.000 Mo
0.092 0.625 0.967 I
0.375 0.342 0.467 I
0.658 0.125 0.033 I
0.875 0.908 0.533 I
```

Values from the calculation:
The calculation puts the excess energy over the best structure of this formula in the dataset at 0.000 eV per atom. The formation energy from raw total energies comes out at 0.968 eV/atom. The calculation puts the spin magnetization at 0.0 μB per formula unit.

***

No. 4
BeMoI3: relaxed, PBE.

Structure (POSCAR):
```
BeMoI3
1.0
5.654 0.000 0.000
0.000 5.654 0.000
0.000 0.000 5.654
Be Mo I
1 1 3
Direct
0.000 0.000 0.000 Be
0.500 0.500 0.500 Mo
0.000 0.500 0.500 I
0.500 0.000 0.500 I
0.500 0.500 0.000 I
```

Values from the calculation:
The calculation puts the excess energy over the best structure of this formula in the dataset at 0.005 eV per atom. The formation energy from raw total energies comes out at 0.808 eV/atom. The calculation puts the spin magnetization at 3.0 μB per formula unit.

***

No. 5
BeMoI2: relaxed, PBE.

Structure (POSCAR):
```
BeMoI2
1.0
0.000 3.414 3.414
3.414 0.000 3.414
3.414 3.414 0.000
Be Mo I
1 1 2
Direct
0.000 0.000 0.000 Be
0.500 0.500 0.500 Mo
0.250 0.250 0.250 I
0.750 0.750 0.750 I
```

Values from the calculation:
The calculation puts the excess energy over the best structure of this formula in the dataset at 0.115 eV per atom. The formation energy from raw total energies comes out at 1.083 eV/atom. The calculation puts the spin magnetization at 0.0 μB per formula unit.

***

No. 6
BeMoI2N: relaxed, PBE.

Structure (POSCAR):
```
BeMoI2N
1.0
5.601 0.000 0.000
0.000 5.601 0.000
0.000 0.000 3.824
Be Mo I N
1 1 2 1
Direct
0.000 0.000 0.000 Be
0.500 0.500 0.500 Mo
0.000 0.500 0.500 I
0.500 0.000 0.500 I
0.500 0.500 0.000 N
```

Values from the calculation:
The calculation puts the excess energy over the best structure of this formula in the dataset at 0.000 eV per atom. The formation energy from raw total energies comes out at 0.726 eV/atom. The calculation puts the spin magnetization at 0.7 μB per formula unit.

***

No. 7
BeMoI2N: relaxed, PBE.

Structure (POSCAR):
```
BeMoI2N
1.0
4.901 0.000 0.000
0.000 4.901 0.000
0.000 0.000 4.338
Be Mo I N
1 1 2 1
Direct
0.000 0.000 0.000 Be
0.000 0.000 0.500 Mo
0.000 0.500 0.000 I
0.500 0.000 0.000 I
0.500 0.500 0.500 N
```

Values from the calculation:
The calculation puts the excess energy over the best structure of this formula in the dataset at 1.410 eV per atom. The formation energy from raw total energies comes out at 2.136 eV/atom. The calculation puts the spin magnetization at 0.0 μB per formula unit.

***

No. 8
BeMoI2N: relaxed, PBE.

Structure (POSCAR):
```
BeMoI2N
1.0
5.419 0.000 0.000
0.000 5.419 0.000
0.000 0.000 3.256
Be Mo I N
1 1 2 1
Direct
0.000 0.000 0.000 Be
0.500 0.500 0.500 Mo
0.000 0.500 0.000 I
0.500 0.000 0.000 I
0.000 0.000 0.500 N
```

Values from the calculation:
The calculation puts the excess energy over the best structure of this formula in the dataset at 0.200 eV per atom. The formation energy from raw total energies comes out at 0.925 eV/atom. The calculation puts the spin magnetization at 3.6 μB per formula unit.

***

No. 9
BeMoIN2: relaxed, PBE.

Structure (POSCAR):
```
BeMoIN2
1.0
3.763 0.000 0.000
0.000 3.763 0.000
0.000 0.000 4.851
Be Mo I N
1 1 1 2
Direct
0.000 0.000 0.000 Be
0.500 0.500 0.500 Mo
0.000 0.000 0.500 I
0.000 0.500 0.000 N
0.500 0.000 0.000 N
```

Values from the calculation:
The calculation puts the excess energy over the best structure of this formula in the dataset at 0.908 eV per atom. The formation energy from raw total energies comes out at 1.759 eV/atom. The calculation puts the spin magnetization at 1.1 μB per formula unit.

***

No. 10
BeMoIN2: relaxed, PBE.

Structure (POSCAR):
```
BeMoIN2
1.0
3.894 0.000 0.000
0.000 3.894 0.000
0.000 0.000 5.867
Be Mo I N
1 1 1 2
Direct
0.000 0.000 0.000 Be
0.500 0.500 0.500 Mo
0.500 0.500 0.000 I
0.000 0.500 0.500 N
0.500 0.000 0.500 N
```

Values from the calculation:
The calculation puts the excess energy over the best structure of this formula in the dataset at 0.000 eV per atom. The formation energy from raw total energies comes out at 0.850 eV/atom. The calculation puts the spin magnetization at 0.0 μB per formula unit.

***

No. 11
NaBeMoI2: relaxed, PBE.

Structure (POSCAR):
```
NaBeMoI2
1.0
5.561 0.000 0.000
0.000 5.561 0.000
0.000 0.000 4.633
Na Be Mo I
1 1 1 2
Direct
0.000 0.000 0.000 Na
0.500 0.500 0.500 Be
0.500 0.500 0.000 Mo
0.000 0.500 0.500 I
0.500 0.000 0.500 I
```

Values from the calculation:
The formation energy from raw total energies comes out at 0.622 eV/atom. The calculation puts the spin magnetization at 4.3 μB per formula unit.